# 1
A geometry-optimized LiNbAu2S structure. Source: Alexandria, functional GGA-PBE.

Cell: 4.4864 4.4864 4.3848 Å, 90.00 90.00 90.00°
Last column: nearest neighbours and their distance in Å.
Fractional positions:
Li1 0.0000 0.0000 0.0000  2 S 2.19, 4 Au 2.24
Nb1 0.5000 0.5000 0.5000  8 Au 3.14, 4 S 3.17
Au1 0.0000 0.5000 0.0000  2 Li 2.24
Au2 0.5000 0.0000 0.0000  2 Li 2.24
S1 0.0000 0.0000 0.5000  2 Li 2.19

V: 17.651 Å³ per atom
formation energy without anion corrections: 405 meV per atom

# 2
A geometry-optimized Li2NbSiAu structure. Source: Alexandria, functional GGA-PBE.

Cell: 4.3728 4.3728 4.7498 Å, 90.00 90.00 90.00°
Last column: nearest neighbours and their distance in Å.
Fractional positions:
Li1 0.0000 0.5000 0.0000  2 Au 2.19
Li2 0.5000 0.0000 0.0000  2 Au 2.19
Nb1 0.0000 0.0000 0.5000  4 Si 3.09, 8 Li 3.23
Si1 0.5000 0.5000 0.5000  2 Au 2.37
Au1 0.5000 0.5000 0.0000  4 Li 2.19, 2 Si 2.37

V: 18.164 Å³ per atom
formation energy without anion corrections: 527 meV per atom

# 3
A geometry-optimized Li2NbWAu structure. Source: Alexandria, functional GGA-PBE.

Cell: 4.1997 4.1997 5.3257 Å, 90.00 90.00 90.00°
Last column: nearest neighbours and their distance in Å.
Fractional positions:
Li1 0.0000 0.5000 0.0000  2 Au 2.10
Li2 0.5000 0.0000 0.0000  2 Au 2.10
Nb1 0.0000 0.0000 0.5000  2 Au 2.66, 4 W 2.97
W1 0.5000 0.5000 0.5000  4 Nb 2.97
Au1 0.0000 0.0000 0.0000  4 Li 2.10

V: 18.786 Å³ per atom
offset from the most stable computed form: 0.00 eV per formula unit
ΔH_f (0 K): 1.034 eV per atom

# 4
A geometry-optimized Li2NbWAu structure. Source: Alexandria, functional GGA-PBE.

Cell: 4.7949 4.7949 4.7090 Å, 90.00 90.00 90.00°
Last column: nearest neighbours and their distance in Å.
Fractional positions:
Li1 0.0000 0.5000 0.0000  2 W 2.40
Li2 0.5000 0.0000 0.0000  2 W 2.40
Nb1 0.0000 0.0000 0.5000  2 W 2.35
W1 0.0000 0.0000 0.0000  2 Nb 2.35, 4 Li 2.40
Au1 0.5000 0.5000 0.5000  8 Li 3.36, 4 Nb 3.39

V: 21.652 Å³ per atom
offset from the most stable computed form: 1.35 eV per formula unit
ΔH_f (0 K): 1.305 eV per atom

# 5
A geometry-optimized LiNbZnAu2 structure. Source: Alexandria, functional GGA-PBE.

Cell: 5.1402 5.1402 5.1346 Å, 90.00 90.00 90.00°
Last column: nearest neighbours and their distance in Å.
Fractional positions:
Li1 0.0000 0.0000 0.0000  8 Au 3.63, 4 Zn 3.63
Nb1 0.5000 0.5000 0.5000  2 Zn 2.57, 4 Au 2.57
Zn1 0.5000 0.5000 0.0000  2 Nb 2.57
Au1 0.0000 0.5000 0.5000  2 Nb 2.57
Au2 0.5000 0.0000 0.5000  2 Nb 2.57

V: 27.133 Å³ per atom
ΔH_f (0 K): 0.623 eV per atom

# 6
A geometry-optimized LiNbZn2Au structure. Source: Alexandria, functional GGA-PBE.

Cell: 5.1169 5.1169 5.1004 Å, 90.00 90.00 90.00°
Last column: nearest neighbours and their distance in Å.
Fractional positions:
Li1 0.0000 0.0000 0.0000  8 Zn 3.61, 4 Au 3.62
Nb1 0.5000 0.5000 0.5000  2 Au 2.55, 4 Zn 2.56
Zn1 0.0000 0.5000 0.5000  2 Nb 2.56
Zn2 0.5000 0.0000 0.5000  2 Nb 2.56
Au1 0.5000 0.5000 0.0000  2 Nb 2.55

V: 26.709 Å³ per atom
ΔH_f (0 K): 0.702 eV per atom